Entry 1:
Entry from Alexandria via LeMat-Bulk: SmDy6Ho2 after structural relaxation (PBE).

Distance to the lowest polymorph of the same formula   343 meV/atom
E_form   0.360 eV/atom
DOS at the Fermi energy   1.553 states/eV per atom
Raw total energy   -0.156 hartree per atom
M_tot   0.01 Bohr magnetons per cell

```
data_SmDy6Ho2
_chemical_formula_sum 'Sm3 Dy18 Ho6'
_symmetry_space_group_name_H-M 'R 3 m'
_symmetry_Int_Tables_number 160
_symmetry_space_group_name_Hall 'R 3 -2"'
_cell_length_a 7.3352
_cell_length_b 7.3352
_cell_length_c 19.0543
_cell_angle_alpha 90.00
_cell_angle_beta 90.00
_cell_angle_gamma 120.00
loop_
_atom_site_label
_atom_site_type_symbol
_atom_site_fract_x
_atom_site_fract_y
_atom_site_fract_z
_atom_site_occupancy
Sm1 Sm 0.0000 0.0000 0.0000 1
Dy1 Dy 0.0138 0.5069 0.4519 1
Dy2 Dy 0.0451 0.5226 0.2535 1
Ho1 Ho 0.0000 0.0000 0.2635 1
Ho2 Ho 0.0000 0.0000 0.4389 1
```

---

Entry 2:
Entry from Alexandria via LeMat-Bulk: Hf2NpGa after structural relaxation (PBE).

Distance to the lowest polymorph of the same formula   0 meV/atom
E_form   0.004 eV/atom
DOS at the Fermi energy   2.063 states/eV per atom
Raw total energy   -0.329 hartree per atom
M_tot   4.12 Bohr magnetons per cell

```
data_Hf2NpGa
_chemical_formula_sum 'Hf2 Np1 Ga1'
_symmetry_space_group_name_H-M 'P 4/m m m'
_symmetry_Int_Tables_number 123
_symmetry_space_group_name_Hall '-P 4 2'
_cell_length_a 4.492
_cell_length_b 4.492
_cell_length_c 4.083
_cell_angle_alpha 90.00
_cell_angle_beta 90.00
_cell_angle_gamma 90.00
loop_
_atom_site_label
_atom_site_type_symbol
_atom_site_fract_x
_atom_site_fract_y
_atom_site_fract_z
_atom_site_occupancy
Hf1 Hf 0.000 0.500 0.000 1
Np1 Np 0.000 0.000 0.500 1
Ga1 Ga 0.500 0.500 0.500 1
```

---

Entry 3:
Entry from Alexandria via LeMat-Bulk: LaNOF2 after structural relaxation (PBE).

Formation energy without anion corrections   -1.097 eV per atom
Distance to the lowest polymorph of the same formula   318 meV/atom
DOS at the Fermi energy   0.476 states/eV per atom
Raw total energy   -0.202 hartree per atom
M_tot   0.33 Bohr magnetons per cell

```
data_LaNOF2
_chemical_formula_sum 'La1 N1 O1 F2'
_symmetry_space_group_name_H-M 'P 4/m m m'
_symmetry_Int_Tables_number 123
_symmetry_space_group_name_Hall '-P 4 2'
_cell_length_a 3.956
_cell_length_b 3.956
_cell_length_c 3.897
_cell_angle_alpha 90.00
_cell_angle_beta 90.00
_cell_angle_gamma 90.00
loop_
_atom_site_label
_atom_site_type_symbol
_atom_site_fract_x
_atom_site_fract_y
_atom_site_fract_z
_atom_site_occupancy
La1 La 0.000 0.000 0.000 1
N1 N 0.500 0.500 0.500 1
O1 O 0.500 0.500 0.000 1
F1 F 0.000 0.500 0.500 1
```

---

Entry 4:
Entry from Alexandria via LeMat-Bulk: Pr5DyHoEr2 after structural relaxation (PBE).

E_form   0.143 eV/atom
DOS at the Fermi energy   1.589 states/eV per atom
Raw total energy   -0.167 hartree per atom
M_tot   0.00 Bohr magnetons per cell

```
data_Pr5DyHoEr2
_chemical_formula_sum 'Pr20 Dy4 Ho4 Er8'
_symmetry_space_group_name_H-M 'C m c 21'
_symmetry_Int_Tables_number 36
_symmetry_space_group_name_Hall 'C 2c -2'
_cell_length_a 5.656
_cell_length_b 20.560
_cell_length_c 10.749
_cell_angle_alpha 90.00
_cell_angle_beta 90.00
_cell_angle_gamma 90.00
loop_
_atom_site_label
_atom_site_type_symbol
_atom_site_fract_x
_atom_site_fract_y
_atom_site_fract_z
_atom_site_occupancy
Pr1 Pr 0.000 0.015 0.000 1
Pr2 Pr 0.000 0.117 0.276 1
Pr3 Pr 0.000 0.203 0.963 1
Pr4 Pr 0.000 0.221 0.570 1
Pr5 Pr 0.000 0.485 0.271 1
Dy1 Dy 0.000 0.302 0.267 1
Ho1 Ho 0.000 0.093 0.721 1
Er1 Er 0.000 0.386 0.561 1
Er2 Er 0.000 0.387 0.996 1
```

---

Entry 5:
Entry from Alexandria via LeMat-Bulk: BeB3W4 after structural relaxation (PBE).

E_form   -0.365 eV/atom
DOS at the Fermi energy   0.352 states/eV per atom
Raw total energy   -0.361 hartree per atom
M_tot   0.00 Bohr magnetons per cell

```
data_BeB3W4
_chemical_formula_sum 'Be1 B3 W4'
_symmetry_space_group_name_H-M 'P m m 2'
_symmetry_Int_Tables_number 25
_symmetry_space_group_name_Hall 'P 2 -2'
_cell_length_a 3.142
_cell_length_b 3.190
_cell_length_c 8.587
_cell_angle_alpha 90.00
_cell_angle_beta 90.00
_cell_angle_gamma 90.00
loop_
_atom_site_label
_atom_site_type_symbol
_atom_site_fract_x
_atom_site_fract_y
_atom_site_fract_z
_atom_site_occupancy
Be1 Be 0.000 0.000 0.000 1
B1 B 0.000 0.500 0.504 1
B2 B 0.500 0.000 0.129 1
B3 B 0.500 0.500 0.625 1
W1 W 0.000 0.000 0.708 1
W2 W 0.000 0.500 0.212 1
W3 W 0.500 0.000 0.421 1
W4 W 0.500 0.500 0.914 1
```

---

Entry 6:
Entry from Alexandria via LeMat-Bulk: CrSbPt4 after structural relaxation (PBE).

Formation energy without anion corrections   0.022 eV per atom
DOS at the Fermi energy   0.863 states/eV per atom
Raw total energy   -0.231 hartree per atom
M_tot   15.56 Bohr magnetons per cell

```
data_CrSbPt4
_chemical_formula_sum 'Cr4 Sb4 Pt16'
_symmetry_space_group_name_H-M 'F -4 3 m'
_symmetry_Int_Tables_number 216
_symmetry_space_group_name_Hall 'F -4 2 3'
_cell_length_a 7.545
_cell_length_b 7.545
_cell_length_c 7.545
_cell_angle_alpha 90.00
_cell_angle_beta 90.00
_cell_angle_gamma 90.00
loop_
_atom_site_label
_atom_site_type_symbol
_atom_site_fract_x
_atom_site_fract_y
_atom_site_fract_z
_atom_site_occupancy
Cr1 Cr 0.000 0.000 0.000 1
Sb1 Sb 0.250 0.250 0.250 1
Pt1 Pt 0.125 0.125 0.625 1
```

---

Entry 7:
Entry from Alexandria via LeMat-Bulk: NaLiV2Ru after structural relaxation (PBE).

E_form   1.689 eV/atom
DOS at the Fermi energy   0.841 states/eV per atom
Raw total energy   -0.164 hartree per atom
M_tot   4.23 Bohr magnetons per cell

```
data_NaLiV2Ru
_chemical_formula_sum 'Na1 Li1 V2 Ru1'
_symmetry_space_group_name_H-M 'P 4/m m m'
_symmetry_Int_Tables_number 123
_symmetry_space_group_name_Hall '-P 4 2'
_cell_length_a 4.768
_cell_length_b 4.768
_cell_length_c 3.539
_cell_angle_alpha 90.00
_cell_angle_beta 90.00
_cell_angle_gamma 90.00
loop_
_atom_site_label
_atom_site_type_symbol
_atom_site_fract_x
_atom_site_fract_y
_atom_site_fract_z
_atom_site_occupancy
Na1 Na 0.000 0.000 0.000 1
Li1 Li 0.000 0.000 0.500 1
V1 V 0.000 0.500 0.000 1
Ru1 Ru 0.500 0.500 0.500 1
```

---

Entry 8:
Entry from Alexandria via LeMat-Bulk: La2DyTl after structural relaxation (PBE).

Distance to the lowest polymorph of the same formula   290 meV/atom
E_form   0.080 eV/atom
DOS at the Fermi energy   1.133 states/eV per atom
Raw total energy   -0.152 hartree per atom
M_tot   0.00 Bohr magnetons per cell

```
data_La2DyTl
_chemical_formula_sum 'La6 Dy3 Tl3'
_symmetry_space_group_name_H-M 'R -3 m'
_symmetry_Int_Tables_number 166
_symmetry_space_group_name_Hall '-R 3 2"'
_cell_length_a 3.6006
_cell_length_b 3.6006
_cell_length_c 37.7878
_cell_angle_alpha 90.00
_cell_angle_beta 90.00
_cell_angle_gamma 120.00
loop_
_atom_site_label
_atom_site_type_symbol
_atom_site_fract_x
_atom_site_fract_y
_atom_site_fract_z
_atom_site_occupancy
La1 La 0.0000 0.0000 0.0894 1
Dy1 Dy 0.0000 0.0000 0.5000 1
Tl1 Tl 0.0000 0.0000 0.0000 1
```

---

Entry 9:
Entry from Alexandria via LeMat-Bulk: EuErGaSn after structural relaxation (PBE).

E_form   -0.523 eV/atom
DOS at the Fermi energy   0.510 states/eV per atom
Raw total energy   -0.220 hartree per atom
M_tot   28.33 Bohr magnetons per cell

```
data_EuErGaSn
_chemical_formula_sum 'Eu4 Er4 Ga4 Sn4'
_symmetry_space_group_name_H-M 'F -4 3 m'
_symmetry_Int_Tables_number 216
_symmetry_space_group_name_Hall 'F -4 2 3'
_cell_length_a 7.480
_cell_length_b 7.480
_cell_length_c 7.480
_cell_angle_alpha 90.00
_cell_angle_beta 90.00
_cell_angle_gamma 90.00
loop_
_atom_site_label
_atom_site_type_symbol
_atom_site_fract_x
_atom_site_fract_y
_atom_site_fract_z
_atom_site_occupancy
Eu1 Eu 0.000 0.000 0.000 1
Er1 Er 0.000 0.000 0.500 1
Ga1 Ga 0.250 0.250 0.750 1
Sn1 Sn 0.250 0.250 0.250 1
```

---

Entry 10:
Entry from Alexandria via LeMat-Bulk: Zr2HgAs after structural relaxation (PBE).

Distance to the lowest polymorph of the same formula   246 meV/atom
E_form   -0.357 eV/atom
DOS at the Fermi energy   0.770 states/eV per atom
Raw total energy   -0.216 hartree per atom
M_tot   0.00 Bohr magnetons per cell

```
data_Zr2HgAs
_chemical_formula_sum 'Zr8 Hg4 As4'
_symmetry_space_group_name_H-M 'I -4 2 d'
_symmetry_Int_Tables_number 122
_symmetry_space_group_name_Hall 'I -4 2bw'
_cell_length_a 7.553
_cell_length_b 7.553
_cell_length_c 6.195
_cell_angle_alpha 90.00
_cell_angle_beta 90.00
_cell_angle_gamma 90.00
loop_
_atom_site_label
_atom_site_type_symbol
_atom_site_fract_x
_atom_site_fract_y
_atom_site_fract_z
_atom_site_occupancy
Zr1 Zr 0.230 0.250 0.125 1
Hg1 Hg 0.000 0.000 0.500 1
As1 As 0.000 0.000 0.000 1
```

---

Entry 11:
Entry from Alexandria via LeMat-Bulk: Y2ReRu after structural relaxation (PBE).

Distance to the lowest polymorph of the same formula   185 meV/atom
E_form   0.145 eV/atom
DOS at the Fermi energy   1.391 states/eV per atom
Raw total energy   -0.313 hartree per atom
M_tot   0.00 Bohr magnetons per cell

```
data_Y2ReRu
_chemical_formula_sum 'Y2 Re1 Ru1'
_symmetry_space_group_name_H-M 'P 4/m m m'
_symmetry_Int_Tables_number 123
_symmetry_space_group_name_Hall '-P 4 2'
_cell_length_a 3.414
_cell_length_b 3.414
_cell_length_c 6.938
_cell_angle_alpha 90.00
_cell_angle_beta 90.00
_cell_angle_gamma 90.00
loop_
_atom_site_label
_atom_site_type_symbol
_atom_site_fract_x
_atom_site_fract_y
_atom_site_fract_z
_atom_site_occupancy
Y1 Y 0.000 0.000 0.245 1
Re1 Re 0.500 0.500 0.500 1
Ru1 Ru 0.500 0.500 0.000 1
```

---

Entry 12:
Entry from Alexandria via LeMat-Bulk: Sr2MnPbBr8 after structural relaxation (PBE).

Formation energy without anion corrections   -1.448 eV per atom
DOS at the Fermi energy   0.000 states/eV per atom
Raw total energy   -0.144 hartree per atom
M_tot   5.00 Bohr magnetons per cell

```
data_Sr2MnPbBr8
_chemical_formula_sum 'Sr2 Mn1 Pb1 Br8'
_symmetry_space_group_name_H-M 'P 1 2/m 1'
_symmetry_Int_Tables_number 10
_symmetry_space_group_name_Hall '-P 2y'
_cell_length_a 6.767
_cell_length_b 8.968
_cell_length_c 7.077
_cell_angle_alpha 90.00
_cell_angle_beta 90.06
_cell_angle_gamma 90.00
loop_
_atom_site_label
_atom_site_type_symbol
_atom_site_fract_x
_atom_site_fract_y
_atom_site_fract_z
_atom_site_occupancy
Sr1 Sr 0.000 0.239 0.000 1
Mn1 Mn 0.500 0.000 0.500 1
Pb1 Pb 0.500 0.500 0.500 1
Br1 Br 0.238 0.500 0.846 1
Br2 Br 0.255 0.000 0.815 1
Br3 Br 0.281 0.222 0.348 1
```

---

Entry 13:
Entry from Alexandria via LeMat-Bulk: Sm8SiSb5 after structural relaxation (PBE).

Formation energy without anion corrections   -0.986 eV per atom
DOS at the Fermi energy   1.000 states/eV per atom
Raw total energy   -0.204 hartree per atom
M_tot   0.00 Bohr magnetons per cell

```
data_Sm8SiSb5
_chemical_formula_sum 'Sm16 Si2 Sb10'
_symmetry_space_group_name_H-M 'I -4'
_symmetry_Int_Tables_number 82
_symmetry_space_group_name_Hall 'I -4'
_cell_length_a 9.294
_cell_length_b 9.294
_cell_length_c 9.400
_cell_angle_alpha 90.00
_cell_angle_beta 90.00
_cell_angle_gamma 90.00
loop_
_atom_site_label
_atom_site_type_symbol
_atom_site_fract_x
_atom_site_fract_y
_atom_site_fract_z
_atom_site_occupancy
Sm1 Sm 0.070 0.176 0.202 1
Sm2 Sm 0.071 0.306 0.552 1
Si1 Si 0.000 0.000 0.500 1
Sb1 Sb 0.000 0.500 0.250 1
Sb2 Sb 0.120 0.252 0.878 1
```